# 1
DFT (PBE) results for a geometry-optimized HfZr2Bi2 structure.

- Raw total energy: -6.93 eV/atom
- Polymorph energy (0 for the lowest one): 0.223 eV/atom
- Crystal system: triclinic
- Formation enthalpy at 0 K: 0.17 eV/f.u.

Unit cell a=3.249 b=8.109 c=10.154 alpha=89.31 beta=89.99 gamma=78.62
Fractional coordinates of all 10 atoms:
Hf (0.165, 0.170, 0.253)
Hf (0.835, 0.830, 0.747)
Zr (0.169, 0.163, 0.753)
Zr (0.500, 0.500, 0.250)
Zr (0.500, 0.500, 0.750)
Zr (0.831, 0.837, 0.247)
Bi (0.374, 0.746, 0.498)
Bi (0.374, 0.746, 0.997)
Bi (0.626, 0.254, 0.003)
Bi (0.626, 0.254, 0.502)

=====

# 2
DFT (PBE) results for a geometry-optimized NaTl2Cu3Cl8 structure.

- Raw total energy: -3.11 eV/atom
- Crystal system: trigonal

Unit cell a=8.816 b=8.816 c=8.816 alpha=51.46 beta=51.46 gamma=51.46
Fractional coordinates of all 14 atoms:
Na (0.000, 0.000, 0.000)
Tl (0.405, 0.405, 0.405)
Tl (0.778, 0.778, 0.778)
Cu (0.416, 0.416, 0.889)
Cu (0.416, 0.889, 0.416)
Cu (0.889, 0.416, 0.416)
Cl (0.113, 0.113, 0.113)
Cl (0.140, 0.140, 0.573)
Cl (0.140, 0.573, 0.140)
Cl (0.227, 0.664, 0.664)
Cl (0.573, 0.140, 0.140)
Cl (0.643, 0.643, 0.643)
Cl (0.664, 0.227, 0.664)
Cl (0.664, 0.664, 0.227)

=====

# 3
DFT (PBE) results for a geometry-optimized La2VGeIr structure.

- Raw total energy: -6.03 eV/atom
- Crystal system: tetragonal
- Formation enthalpy at 0 K: 2.29 eV/f.u.

Unit cell a=5.637 b=5.637 c=4.574 alpha=90.00 beta=90.00 gamma=90.00
Fractional coordinates of all 5 atoms:
La (0.000, 0.500, 0.000)
La (0.500, 0.000, 0.000)
V (0.000, 0.000, 0.500)
Ge (0.000, 0.000, 0.000)
Ir (0.500, 0.500, 0.500)

=====

# 4
DFT (PBE) results for a geometry-optimized CsK3Rb4 structure.

- Raw total energy: -0.99 eV/atom
- Crystal system: orthorhombic
- Formation enthalpy at 0 K: 0.07 eV/f.u.

Unit cell a=15.951 b=10.550 c=8.200 alpha=90.00 beta=90.00 gamma=90.00
Fractional coordinates of all 16 atoms:
Cs (0.000, 0.000, 0.000)
Cs (0.500, 0.000, 0.000)
K (0.000, 0.500, 0.000)
K (0.250, 0.000, 0.414)
K (0.250, 0.500, 0.395)
K (0.500, 0.500, 0.000)
K (0.750, 0.000, 0.586)
K (0.750, 0.500, 0.605)
Rb (0.000, 0.262, 0.500)
Rb (0.000, 0.738, 0.500)
Rb (0.250, 0.261, 0.904)
Rb (0.250, 0.739, 0.904)
Rb (0.500, 0.262, 0.500)
Rb (0.500, 0.738, 0.500)
Rb (0.750, 0.261, 0.096)
Rb (0.750, 0.739, 0.096)

=====

# 5
DFT (PBE) results for a geometry-optimized Zn2SnOsPd structure.

- Raw total energy: -4.01 eV/atom
- Crystal system: tetragonal
- Formation enthalpy at 0 K: 2.92 eV/f.u.

Unit cell a=4.781 b=4.781 c=5.007 alpha=90.00 beta=90.00 gamma=90.00
Fractional coordinates of all 5 atoms:
Zn (0.000, 0.500, 0.000)
Zn (0.500, 0.000, 0.000)
Sn (0.000, 0.000, 0.500)
Os (0.000, 0.000, 0.000)
Pd (0.500, 0.500, 0.500)

=====

# 6
DFT (PBE) results for a geometry-optimized NdTm3 structure.

- Raw total energy: -4.42 eV/atom
- Polymorph energy (0 for the lowest one): 0.113 eV/atom
- Crystal system: cubic
- Formation enthalpy at 0 K: 0.49 eV/f.u.

Unit cell a=7.971 b=7.971 c=7.971 alpha=90.00 beta=90.00 gamma=90.00
Fractional coordinates of all 16 atoms:
Nd (0.000, 0.000, 0.000)
Nd (0.000, 0.500, 0.500)
Nd (0.500, 0.000, 0.500)
Nd (0.500, 0.500, 0.000)
Tm (0.000, 0.000, 0.500)
Tm (0.000, 0.500, 0.000)
Tm (0.250, 0.250, 0.250)
Tm (0.250, 0.250, 0.750)
Tm (0.250, 0.750, 0.250)
Tm (0.250, 0.750, 0.750)
Tm (0.500, 0.000, 0.000)
Tm (0.500, 0.500, 0.500)
Tm (0.750, 0.250, 0.250)
Tm (0.750, 0.250, 0.750)
Tm (0.750, 0.750, 0.250)
Tm (0.750, 0.750, 0.750)

=====

# 7
DFT (PBE) results for a geometry-optimized Li2AcTmCl8 structure.

- Raw total energy: -4.39 eV/atom
- Crystal system: triclinic

Unit cell a=6.340 b=6.405 c=8.570 alpha=93.70 beta=94.39 gamma=92.38
Fractional coordinates of all 12 atoms:
Li (0.041, 0.036, 0.200)
Li (0.959, 0.964, 0.800)
Ac (0.500, 0.500, 0.500)
Tm (0.500, 0.500, 0.000)
Cl (0.195, 0.169, 0.451)
Cl (0.213, 0.190, 0.984)
Cl (0.285, 0.671, 0.771)
Cl (0.304, 0.691, 0.223)
Cl (0.696, 0.309, 0.777)
Cl (0.715, 0.329, 0.229)
Cl (0.787, 0.810, 0.016)
Cl (0.805, 0.831, 0.549)

=====

# 8
DFT (PBE) results for a geometry-optimized PaGeRh3 structure.

- Raw total energy: -7.94 eV/atom
- Polymorph energy (0 for the lowest one): 0.000 eV/atom
- Crystal system: orthorhombic
- Formation enthalpy at 0 K: -3.52 eV/f.u.

Unit cell a=4.489 b=5.693 c=6.806 alpha=90.00 beta=90.00 gamma=90.00
Fractional coordinates of all 10 atoms:
Pa (0.250, 0.250, 0.170)
Pa (0.750, 0.750, 0.830)
Ge (0.250, 0.750, 0.433)
Ge (0.750, 0.250, 0.567)
Rh (0.250, 0.012, 0.724)
Rh (0.250, 0.488, 0.724)
Rh (0.250, 0.750, 0.078)
Rh (0.750, 0.250, 0.922)
Rh (0.750, 0.512, 0.276)
Rh (0.750, 0.988, 0.276)